The following is a DFT calculation (PBE with a Hubbard U) of crystalline Cs3MoF at its relaxed geometry.

Properties
**Volume**: 46.23 Å³/atom
**Calculated total energy**: -2.80 eV/atom
**Space group**: Pm-3m, No. 221
**Size of the total moment**: 5.75 Bohr magnetons per cell

Cell lengths 6.137, 6.137, 6.137 Å; angles 90.00, 90.00, 90.00 degrees
Element x y z (fractional)
Cs 0.000 0.500 0.000
Cs 0.000 0.000 0.500
Cs 0.500 0.000 0.000
Mo 0.500 0.500 0.500
F 0.000 0.000 0.000